Lu2Mn3Si5: optimized geometry, GGA-PBEsol.

Cell lengths 5.2710, 10.3723, 10.3723 Å; angles 90.00, 90.00, 90.00 degrees
Closest atoms and distances in Å follow each position.
Sites, in units of the cell vectors:
Lu 0.5000 0.5760 0.7361  7 Si 2.71-2.97, 2 Mn 2.98
Lu 0.5000 0.4240 0.2639  7 Si 2.71-2.97, 2 Mn 2.98
Lu 0.0000 0.0760 0.7639  7 Si 2.71-2.97, 2 Mn 2.98
Lu 0.0000 0.9240 0.2361  7 Si 2.71-2.97, 2 Mn 2.98
Lu 0.5000 0.2639 0.5760  7 Si 2.71-2.97, 2 Mn 2.98
Lu 0.5000 0.7361 0.4240  7 Si 2.71-2.97, 2 Mn 2.98
Lu 0.0000 0.2361 0.0760  7 Si 2.71-2.97, 2 Mn 2.98
Lu 0.0000 0.7639 0.9240  7 Si 2.71-2.97, 2 Mn 2.98
Mn 0.5000 0.8785 0.8539  6 Si 2.33-2.36
Mn 0.5000 0.1215 0.1461  6 Si 2.33-2.36
Mn 0.0000 0.3785 0.6461  6 Si 2.33-2.36
Mn 0.0000 0.6215 0.3539  6 Si 2.33-2.36
Mn 0.5000 0.1461 0.8785  6 Si 2.33-2.36
Mn 0.5000 0.8539 0.1215  6 Si 2.33-2.36
Mn 0.0000 0.3539 0.3785  6 Si 2.33-2.36
Mn 0.0000 0.6461 0.6215  6 Si 2.33-2.36
Mn 0.2500 0.5000 0.0000  6 Si 2.35-2.56
Mn 0.7500 0.0000 0.5000  6 Si 2.35-2.56
Mn 0.2500 0.0000 0.5000  6 Si 2.35-2.56
Mn 0.7500 0.5000 0.0000  6 Si 2.35-2.56
Si 0.2500 0.6746 0.1746  3 Mn 2.35-2.56, 2 Si 2.47
Si 0.2500 0.3254 0.8254  3 Mn 2.35-2.56, 2 Si 2.47
Si 0.7500 0.1746 0.3254  3 Mn 2.35-2.56, 2 Si 2.47
Si 0.7500 0.8254 0.6746  3 Mn 2.35-2.56, 2 Si 2.47
Si 0.2500 0.8254 0.6746  3 Mn 2.35-2.56, 2 Si 2.47
Si 0.2500 0.1746 0.3254  3 Mn 2.35-2.56, 2 Si 2.47
Si 0.7500 0.6746 0.1746  3 Mn 2.35-2.56, 2 Si 2.47
Si 0.7500 0.3254 0.8254  3 Mn 2.35-2.56, 2 Si 2.47
Si 0.2476 0.5000 0.5000  4 Mn 2.36, 1 Si 2.61
Si 0.7476 0.0000 0.0000  4 Mn 2.36, 1 Si 2.61
Si 0.7524 0.5000 0.5000  4 Mn 2.36, 1 Si 2.61
Si 0.2524 0.0000 0.0000  4 Mn 2.36, 1 Si 2.61
Si 0.5000 0.6857 0.9730  4 Mn 2.33-2.35, 2 Si 2.47
Si 0.5000 0.3143 0.0270  4 Mn 2.33-2.35, 2 Si 2.47
Si 0.0000 0.1857 0.5270  4 Mn 2.33-2.35, 2 Si 2.47
Si 0.0000 0.8143 0.4730  4 Mn 2.33-2.35, 2 Si 2.47
Si 0.5000 0.0270 0.6857  4 Mn 2.33-2.35, 2 Si 2.47
Si 0.5000 0.9730 0.3143  4 Mn 2.33-2.35, 2 Si 2.47
Si 0.0000 0.4730 0.1857  4 Mn 2.33-2.35, 2 Si 2.47
Si 0.0000 0.5270 0.8143  4 Mn 2.33-2.35, 2 Si 2.47

Calculated values
SG: P4/mnc, No. 128
DFT total energy: -74.70 eV/f.u.

***

Na2LuMoPO8: optimized geometry, GGA-PBEsol.

Cell lengths 6.7255, 11.2692, 11.2692 Å; angles 63.48, 72.64, 72.64 degrees
Closest atoms and distances in Å follow each position.
Sites, in units of the cell vectors:
Na 0.6619 0.9071 0.7852  3 O 2.28-2.43
Na 0.1458 0.4071 0.2852  3 O 2.28-2.43
Na 0.3542 0.7148 0.5929  3 O 2.28-2.43
Na 0.1619 0.7852 0.9071  3 O 2.28-2.43
Na 0.6458 0.2852 0.4071  3 O 2.28-2.43
Na 0.8542 0.5929 0.7148  3 O 2.28-2.43
Na 0.8381 0.2148 0.0929  3 O 2.28-2.43
Na 0.3381 0.0929 0.2148  3 O 2.28-2.43
Lu 0.2500 0.1801 0.8199  8 O 2.20-2.36
Lu 0.7500 0.8199 0.1801  8 O 2.20-2.36
Lu 0.2500 0.6801 0.3199  8 O 2.20-2.36
Lu 0.7500 0.3199 0.6801  8 O 2.20-2.36
Mo 0.8255 0.9245 0.4245  4 O 1.75-1.78
Mo 0.6745 0.5755 0.0755  4 O 1.75-1.78
Mo 0.1745 0.0755 0.5755  4 O 1.75-1.78
Mo 0.3255 0.4245 0.9245  4 O 1.75-1.78
P 0.7500 0.0667 0.9333  4 O 1.54-1.55
P 0.2500 0.4333 0.5667  4 O 1.54-1.55
P 0.7500 0.5667 0.4333  4 O 1.54-1.55
P 0.2500 0.9333 0.0667  4 O 1.54-1.55
O 0.8102 0.4201 0.4428  1 P 1.54
O 0.7661 0.4004 0.1422  1 Mo 1.75
O 0.8268 0.9201 0.9428  1 P 1.54
O 0.5648 0.6555 0.3575  1 P 1.55
O 0.6732 0.0572 0.0799  1 P 1.54
O 0.9222 0.1555 0.8575  1 P 1.55
O 0.0778 0.8445 0.1425  1 P 1.55
O 0.7339 0.8578 0.5996  1 Mo 1.75
O 0.9026 0.1529 0.6102  1 Mo 1.78
O 0.8343 0.6529 0.1102  1 Mo 1.78
O 0.2339 0.5996 0.8578  1 Mo 1.75
O 0.4352 0.3445 0.6425  1 P 1.55
O 0.1732 0.0799 0.0572  1 P 1.54
O 0.3343 0.1102 0.6529  1 Mo 1.78
O 0.0974 0.8471 0.3898  1 Mo 1.78
O 0.4222 0.8575 0.1555  1 P 1.55
O 0.4026 0.6102 0.1529  1 Mo 1.78
O 0.6898 0.5572 0.5799  1 P 1.54
O 0.2661 0.1422 0.4004  1 Mo 1.75
O 0.1912 0.9004 0.6422  1 Mo 1.75
O 0.5778 0.1425 0.8445  1 P 1.55
O 0.3268 0.9428 0.9201  1 P 1.54
O 0.6912 0.6422 0.9004  1 Mo 1.75
O 0.9352 0.6425 0.3445  1 P 1.55
O 0.6657 0.8898 0.3471  1 Mo 1.78
O 0.3102 0.4428 0.4201  1 P 1.54
O 0.1898 0.5799 0.5572  1 P 1.54
O 0.8088 0.0996 0.3578  1 Mo 1.75
O 0.0648 0.3575 0.6555  1 P 1.55
O 0.1657 0.3471 0.8898  1 Mo 1.78
O 0.5974 0.3898 0.8471  1 Mo 1.78
O 0.3088 0.3578 0.0996  1 Mo 1.75

Calculated values
SG: Ibca, No. 73
DFT total energy: -100.21 eV/f.u.

***

Lu2MoO6: optimized geometry, GGA-PBEsol.

Cell lengths 5.1980, 9.6237, 9.6237 Å; angles 67.65, 74.84, 74.84 degrees
Closest atoms and distances in Å follow each position.
Sites, in units of the cell vectors:
Lu 0.2500 0.6375 0.3625  6 O 2.15-2.31
Lu 0.7500 0.3625 0.6375  6 O 2.15-2.31
Lu 0.2500 0.1050 0.8950  6 O 2.14-2.29
Lu 0.7500 0.8950 0.1050  6 O 2.14-2.29
Lu 0.1237 0.0498 0.2826  6 O 2.11-2.36
Lu 0.8763 0.9502 0.7174  6 O 2.11-2.36
Lu 0.3763 0.7174 0.9502  6 O 2.11-2.36
Lu 0.6237 0.2826 0.0498  6 O 2.11-2.36
Mo 0.4353 0.2048 0.4852  4 O 1.78-1.82
Mo 0.5647 0.7952 0.5148  4 O 1.78-1.82
Mo 0.0647 0.5148 0.7952  4 O 1.78-1.82
Mo 0.9353 0.4852 0.2048  4 O 1.78-1.82
O 0.4213 0.8373 0.3050  3 Lu 2.15-2.21, 1 Mo 2.19
O 0.5787 0.1627 0.6950  3 Lu 2.15-2.21, 1 Mo 2.19
O 0.0787 0.6950 0.1627  3 Lu 2.15-2.21, 1 Mo 2.19
O 0.9213 0.3050 0.8373  3 Lu 2.15-2.21, 1 Mo 2.19
O 0.1190 0.1739 0.6156  1 Mo 1.81
O 0.8810 0.8261 0.3844  1 Mo 1.81
O 0.3810 0.3844 0.8261  1 Mo 1.81
O 0.6190 0.6156 0.1739  1 Mo 1.81
O 0.3608 0.2114 0.3106  1 Mo 1.80
O 0.6392 0.7886 0.6894  1 Mo 1.80
O 0.1392 0.6894 0.7886  1 Mo 1.80
O 0.8608 0.3106 0.2114  1 Mo 1.80
O 0.2536 0.9350 0.5241  1 Mo 1.82
O 0.7464 0.0650 0.4759  1 Mo 1.82
O 0.2464 0.4759 0.0650  1 Mo 1.82
O 0.7536 0.5241 0.9350  1 Mo 1.82
O 0.4873 0.3921 0.4498  1 Mo 1.78
O 0.5127 0.6079 0.5502  1 Mo 1.78
O 0.0127 0.5502 0.6079  1 Mo 1.78
O 0.9873 0.4498 0.3921  1 Mo 1.78
O 0.9220 0.0717 0.1099  4 Lu 2.11-2.29
O 0.0780 0.9283 0.8901  4 Lu 2.11-2.29
O 0.5780 0.8901 0.9283  4 Lu 2.11-2.29
O 0.4220 0.1099 0.0717  4 Lu 2.11-2.29

Calculated values
SG: C2/c, No. 15
DFT total energy: -80.40 eV/f.u.

***

Lu2Si4Mo3: optimized geometry, GGA-PBEsol.

Cell lengths 6.6135, 6.8185, 12.7075 Å; angles 90.00, 90.00, 90.00 degrees
Closest atoms and distances in Å follow each position.
Sites, in units of the cell vectors:
Lu 0.5032 0.6683 0.0931  7 Si 2.74-2.96
Lu 0.0032 0.8317 0.4069  7 Si 2.74-2.96
Lu 0.4968 0.3317 0.5931  7 Si 2.74-2.96
Lu 0.9968 0.1683 0.9069  7 Si 2.74-2.96
Lu 0.4968 0.3317 0.9069  7 Si 2.74-2.96
Lu 0.9968 0.1683 0.5931  7 Si 2.74-2.96
Lu 0.5032 0.6683 0.4069  7 Si 2.74-2.96
Lu 0.0032 0.8317 0.0931  7 Si 2.74-2.96
Si 0.3382 0.9597 0.5458  1 Si 2.50, 4 Mo 2.50-2.61, 1 Lu 2.74
Si 0.8382 0.5403 0.9542  1 Si 2.50, 4 Mo 2.50-2.61, 1 Lu 2.74
Si 0.6618 0.0403 0.0458  1 Si 2.50, 4 Mo 2.50-2.61, 1 Lu 2.74
Si 0.1618 0.4597 0.4542  1 Si 2.50, 4 Mo 2.50-2.61, 1 Lu 2.74
Si 0.6618 0.0403 0.4542  1 Si 2.50, 4 Mo 2.50-2.61, 1 Lu 2.74
Si 0.1618 0.4597 0.0458  1 Si 2.50, 4 Mo 2.50-2.61, 1 Lu 2.74
Si 0.3382 0.9597 0.9542  1 Si 2.50, 4 Mo 2.50-2.61, 1 Lu 2.74
Si 0.8382 0.5403 0.5458  1 Si 2.50, 4 Mo 2.50-2.61, 1 Lu 2.74
Si 0.4664 0.6308 0.7500  6 Mo 2.51-2.68, 1 Si 2.53
Si 0.9664 0.8692 0.7500  6 Mo 2.51-2.68, 1 Si 2.53
Si 0.5336 0.3692 0.2500  6 Mo 2.51-2.68, 1 Si 2.53
Si 0.0336 0.1308 0.2500  6 Mo 2.51-2.68, 1 Si 2.53
Si 0.1985 0.3655 0.7500  1 Si 2.53, 4 Mo 2.57-2.63, 4 Lu 2.75-2.81
Si 0.6985 0.1345 0.7500  1 Si 2.53, 4 Mo 2.57-2.63, 4 Lu 2.75-2.81
Si 0.8015 0.6345 0.2500  1 Si 2.53, 4 Mo 2.57-2.63, 4 Lu 2.75-2.81
Si 0.3015 0.8655 0.2500  1 Si 2.53, 4 Mo 2.57-2.63, 4 Lu 2.75-2.81
Mo 0.1700 0.6655 0.6242  6 Si 2.50-2.60
Mo 0.6700 0.8345 0.8758  6 Si 2.50-2.60
Mo 0.8300 0.3345 0.1242  6 Si 2.50-2.60
Mo 0.3300 0.1655 0.3758  6 Si 2.50-2.60
Mo 0.8300 0.3345 0.3758  6 Si 2.50-2.60
Mo 0.3300 0.1655 0.1242  6 Si 2.50-2.60
Mo 0.1700 0.6655 0.8758  6 Si 2.50-2.60
Mo 0.6700 0.8345 0.6242  6 Si 2.50-2.60
Mo 0.3346 0.0032 0.7500  6 Si 2.57-2.68
Mo 0.8346 0.4968 0.7500  6 Si 2.57-2.68
Mo 0.6654 0.9968 0.2500  6 Si 2.57-2.68
Mo 0.1654 0.5032 0.2500  6 Si 2.57-2.68

Calculated values
SG: Pnma, No. 62
DFT total energy: -74.90 eV/f.u.

***

LuN: optimized geometry, GGA-PBEsol.

Cell lengths 3.3221, 3.3221, 3.3221 Å; angles 60.00, 60.00, 60.00 degrees
Closest atoms and distances in Å follow each position.
Sites, in units of the cell vectors:
Lu 0.0000 0.0000 0.0000  6 N 2.35
N 0.5000 0.5000 0.5000  6 Lu 2.35

Calculated values
SG: Fm-3m, No. 225
DFT total energy: -17.55 eV/f.u.

***

NaLuP2O7: optimized geometry, GGA-PBEsol.

Cell lengths 5.3647, 9.0360, 12.6959 Å; angles 103.76, 90.00, 90.00 degrees
Closest atoms and distances in Å follow each position.
Sites, in units of the cell vectors:
Na 0.7721 0.6423 0.1926  6 O 2.48-2.70
Na 0.2279 0.3577 0.8074  6 O 2.48-2.70
Na 0.7279 0.1423 0.6926  6 O 2.48-2.70
Na 0.2721 0.8577 0.3074  6 O 2.48-2.70
Lu 0.2637 0.2678 0.5250  6 O 2.10-2.21
Lu 0.7637 0.2322 0.9750  6 O 2.10-2.21
Lu 0.7363 0.7322 0.4750  6 O 2.10-2.21
Lu 0.2363 0.7678 0.0250  6 O 2.10-2.21
P 0.2487 0.0254 0.8489  4 O 1.51-1.62
P 0.7191 0.5642 0.8827  4 O 1.51-1.62
P 0.7513 0.9746 0.1511  4 O 1.51-1.62
P 0.2809 0.4358 0.1173  4 O 1.51-1.62
P 0.2191 0.9358 0.6173  4 O 1.51-1.62
P 0.7487 0.4746 0.6511  4 O 1.51-1.62
P 0.2513 0.5254 0.3489  4 O 1.51-1.62
P 0.7809 0.0642 0.3827  4 O 1.51-1.62
O 0.4665 0.1385 0.8588  1 P 1.54
O 0.1127 0.3286 0.0386  1 P 1.51
O 0.7795 0.5977 0.7657  2 P 1.62
O 0.2445 0.4330 0.4335  1 P 1.51
O 0.0581 0.0951 0.4072  1 P 1.53
O 0.7177 0.8956 0.3706  1 P 1.53
O 0.9989 0.8925 0.1573  1 P 1.53
O 0.2823 0.1044 0.6294  1 P 1.53
O 0.0011 0.1075 0.8427  1 P 1.53
O 0.7555 0.5670 0.5665  1 P 1.51
O 0.2795 0.9023 0.7343  2 P 1.62
O 0.6127 0.1714 0.4614  1 P 1.51
O 0.7205 0.0977 0.2657  2 P 1.62
O 0.5581 0.4049 0.0928  1 P 1.53
O 0.2205 0.4023 0.2343  2 P 1.62
O 0.9419 0.9049 0.5928  1 P 1.53
O 0.3873 0.8286 0.5386  1 P 1.51
O 0.5335 0.8615 0.1412  1 P 1.54
O 0.5011 0.3925 0.6573  1 P 1.53
O 0.4419 0.5951 0.9072  1 P 1.53
O 0.2177 0.6044 0.1294  1 P 1.53
O 0.9665 0.3615 0.6412  1 P 1.54
O 0.7445 0.0670 0.0665  1 P 1.51
O 0.2555 0.9330 0.9335  1 P 1.51
O 0.8873 0.6714 0.9614  1 P 1.51
O 0.0335 0.6385 0.3588  1 P 1.54
O 0.4989 0.6075 0.3427  1 P 1.53
O 0.7823 0.3956 0.8706  1 P 1.53

Calculated values
SG: P2_1/c, No. 14
DFT total energy: -84.40 eV/f.u.

***

Na2LuPWO8: optimized geometry, GGA-PBEsol.

Cell lengths 6.7251, 11.3046, 11.3046 Å; angles 63.43, 72.70, 72.70 degrees
Closest atoms and distances in Å follow each position.
Sites, in units of the cell vectors:
Na 0.6598 0.9061 0.7856  3 O 2.27-2.44
Na 0.6485 0.2856 0.4061  3 O 2.27-2.44
Na 0.8402 0.2144 0.0939  3 O 2.27-2.44
Na 0.8515 0.5939 0.7144  3 O 2.27-2.44
Na 0.3402 0.0939 0.2144  3 O 2.27-2.44
Na 0.3515 0.7144 0.5939  3 O 2.27-2.44
Na 0.1598 0.7856 0.9061  3 O 2.27-2.44
Na 0.1485 0.4061 0.2856  3 O 2.27-2.44
Lu 0.2500 0.1795 0.8205  8 O 2.19-2.37
Lu 0.7500 0.3205 0.6795  8 O 2.19-2.37
Lu 0.7500 0.8205 0.1795  8 O 2.19-2.37
Lu 0.2500 0.6795 0.3205  8 O 2.19-2.37
P 0.7500 0.5670 0.4330  4 O 1.54-1.55
P 0.2500 0.9330 0.0670  4 O 1.54-1.55
P 0.2500 0.4330 0.5670  4 O 1.54-1.55
P 0.7500 0.0670 0.9330  4 O 1.54-1.55
W 0.8256 0.9244 0.4244  4 O 1.78-1.81
W 0.6744 0.5756 0.0756  4 O 1.78-1.81
W 0.1744 0.0756 0.5756  4 O 1.78-1.81
W 0.3256 0.4244 0.9244  4 O 1.78-1.81
O 0.8108 0.4209 0.4425  1 P 1.54
O 0.3257 0.9425 0.9209  1 P 1.54
O 0.6892 0.5575 0.5791  1 P 1.54
O 0.1743 0.0791 0.0575  1 P 1.54
O 0.1892 0.5791 0.5575  1 P 1.54
O 0.6743 0.0575 0.0791  1 P 1.54
O 0.3108 0.4425 0.4209  1 P 1.54
O 0.8257 0.9209 0.9425  1 P 1.54
O 0.9347 0.6432 0.3448  1 P 1.55
O 0.0773 0.8448 0.1432  1 P 1.55
O 0.5653 0.6552 0.3568  1 P 1.55
O 0.4227 0.8568 0.1552  1 P 1.55
O 0.0653 0.3568 0.6552  1 P 1.55
O 0.9227 0.1552 0.8568  1 P 1.55
O 0.4347 0.3448 0.6432  1 P 1.55
O 0.5773 0.1432 0.8448  1 P 1.55
O 0.6635 0.8910 0.3452  1 W 1.81
O 0.1003 0.8452 0.3910  1 W 1.81
O 0.8365 0.6548 0.1090  1 W 1.81
O 0.3997 0.6090 0.1548  1 W 1.81
O 0.3365 0.1090 0.6548  1 W 1.81
O 0.8997 0.1548 0.6090  1 W 1.81
O 0.1635 0.3452 0.8910  1 W 1.81
O 0.6003 0.3910 0.8452  1 W 1.81
O 0.8118 0.1014 0.3570  1 W 1.78
O 0.7298 0.8570 0.6014  1 W 1.78
O 0.6882 0.6430 0.8986  1 W 1.78
O 0.7702 0.3986 0.1430  1 W 1.78
O 0.1882 0.8986 0.6430  1 W 1.78
O 0.2702 0.1430 0.3986  1 W 1.78
O 0.3118 0.3570 0.1014  1 W 1.78
O 0.2298 0.6014 0.8570  1 W 1.78

Calculated values
SG: Ibca, No. 73
DFT total energy: -102.53 eV/f.u.

***

NaLuPd6O8: optimized geometry, GGA-PBEsol.

Cell lengths 5.7029, 5.7029, 5.7029 Å; angles 90.00, 90.00, 90.00 degrees
Closest atoms and distances in Å follow each position.
Sites, in units of the cell vectors:
Na 0.5000 0.5000 0.5000  8 O 2.59
Lu 0.0000 0.0000 0.0000  8 O 2.34
Pd 0.7509 0.5000 0.0000  4 O 2.02
Pd 0.5000 0.0000 0.7509  4 O 2.02
Pd 0.0000 0.7509 0.5000  4 O 2.02
Pd 0.5000 0.0000 0.2491  4 O 2.02
Pd 0.0000 0.2491 0.5000  4 O 2.02
Pd 0.2491 0.5000 0.0000  4 O 2.02
O 0.2373 0.7627 0.2373  3 Pd 2.02
O 0.7627 0.2373 0.2373  3 Pd 2.02
O 0.2373 0.2373 0.7627  3 Pd 2.02
O 0.7627 0.7627 0.7627  3 Pd 2.02
O 0.7627 0.2373 0.7627  3 Pd 2.02
O 0.2373 0.7627 0.7627  3 Pd 2.02
O 0.7627 0.7627 0.2373  3 Pd 2.02
O 0.2373 0.2373 0.2373  3 Pd 2.02

Calculated values
SG: Pm-3, No. 200
DFT total energy: -102.60 eV/f.u.